Entry from Alexandria: an optimized crystal structure of Be5Al (GGA-PBE).

The calculation puts the formation enthalpy at 0 K at 134 kJ/mol of formula units. The total energy is -20.99 eV per cell.

a = 4.7317 Å, b = 4.7317 Å, c = 5.7620 Å
α = 69.23°, β = 69.23°, γ = 29.12°
Closest atoms and distances in Å follow each position.
Fractional coordinates of all 6 atoms:
Be 0.3593 0.3593 0.7240  9 Be 2.25-2.41
Be 0.3390 0.3390 0.3457  9 Be 2.16-2.38
Be 0.7369 0.7369 0.0929  8 Be 2.30-2.38, 3 Al 2.45-2.57
Be 0.0478 0.0478 0.4006  10 Be 2.25-2.38, 1 Al 2.50
Be 0.6623 0.6623 0.6199  8 Be 2.16-2.41, 2 Al 2.34
Al 0.0214 0.0214 0.9836  8 Be 2.34-2.57, 2 Al 2.38



Entry from Alexandria: an optimized crystal structure of BeAl (GGA-PBE).

The calculation puts the formation enthalpy at 0 K at 43 kJ/mol of formula units. The total energy is -28.07 eV per cell.

a = 2.6327 Å, b = 7.1143 Å, c = 6.0902 Å
α = 90.00°, β = 115.85°, γ = 90.00°
Closest atoms and distances in Å follow each position.
Fractional coordinates of all 8 atoms:
Be 0.7062 0.5000 0.4294  2 Be 2.21, 2 Al 2.46
Be 0.7062 0.0000 0.9294  2 Be 2.21, 2 Al 2.46
Be 0.5313 0.0000 0.2529  2 Be 2.21
Be 0.5313 0.5000 0.7529  2 Be 2.21
Al 0.9161 0.6960 0.1416  6 Be 2.46-2.61, 2 Al 2.63
Al 0.9161 0.8040 0.6416  6 Be 2.46-2.61, 2 Al 2.63
Al 0.9161 0.1960 0.6416  6 Be 2.46-2.61, 2 Al 2.63
Al 0.9161 0.3040 0.1416  6 Be 2.46-2.61, 2 Al 2.63



Entry from Alexandria: an optimized crystal structure of BeAl5 (GGA-PBE).

The calculation puts the formation enthalpy at 0 K at 52 kJ/mol of formula units. The total energy is -21.90 eV per cell. The excess energy over the best structure of this formula in the dataset is 20.5 meV per atom.

a = 6.1216 Å, b = 6.1216 Å, c = 4.0065 Å
α = 90.00°, β = 90.00°, γ = 142.63°
Closest atoms and distances in Å follow each position.
Fractional coordinates of all 6 atoms:
Al 0.1603 0.8397 0.0000  2 Be 2.70, 10 Al 2.73-2.87
Al 0.6623 0.3377 0.5000  10 Al 2.72-2.87, 2 Be 2.75
Al 0.8397 0.1603 0.0000  2 Be 2.70, 10 Al 2.73-2.87
Al 0.0000 0.0000 0.5000  8 Al 2.72-2.73, 4 Be 2.80
Al 0.3377 0.6623 0.5000  10 Al 2.72-2.87, 2 Be 2.75
Be 0.5000 0.5000 0.0000  12 Al 2.70-2.80